Zr3ScCo PBE optimized geometry; energy above the most stable polymorph in this dataset = 0.0 meV per atom; calculated formation energy = -0.52 eV per formula unit; volume = 21.24 Å³/atom; E = -7.920 eV per atom
1.0
3.2280 0.0000 0.0000
0.0000 10.3909 0.0000
0.0000 0.0000 12.6630
Zr Sc Co
12 4 4
direct
0.2500 0.9712 0.8217
0.7500 0.9639 0.6031
0.2500 0.5361 0.1031
0.2500 0.2772 0.2502
0.7500 0.5288 0.3217
0.7500 0.2228 0.7502
0.2500 0.0361 0.3969
0.2500 0.4712 0.6783
0.7500 0.0288 0.1783
0.2500 0.7772 0.2498
0.7500 0.4639 0.8969
0.7500 0.7228 0.7498
0.2500 0.6916 0.5077
0.7500 0.3084 0.4923
0.7500 0.8084 0.0077
0.2500 0.1916 0.9923
0.2500 0.6576 0.8990
0.7500 0.3424 0.1010
0.2500 0.1576 0.6010
0.7500 0.8424 0.3990